(1)
The following is a PBEsol calculation of a geometry-optimized LaWAu2 structure, from Alexandria via LeMat-Bulk.

Structure (POSCAR):
```
LaWAu2
1.0
2.9531 0.0000 0.0000
0.0000 2.9531 0.0000
0.0000 0.0000 8.8695
La W Au
1 1 2
direct
0.0000 0.0000 0.0000 La
0.5000 0.5000 0.2872 W
0.0000 0.0000 0.4940 Au
0.5000 0.5000 0.7240 Au
```



(2)
The following is a PBEsol calculation of a geometry-optimized ZnRuW2 structure, from Alexandria via LeMat-Bulk.

Structure (POSCAR):
```
ZnRuW2
1.0
-1.9211 1.9211 3.9412
1.9211 -1.9211 3.9412
1.9211 1.9211 -3.9412
Zn Ru W
1 1 2
direct
0.0000 0.0000 0.0000 Zn
0.7500 0.2500 0.5000 Ru
0.2500 0.7500 0.5000 W
0.5000 0.5000 0.0000 W
```



(3)
The following is a PBEsol calculation of a geometry-optimized Cr2ReRu2 structure, from Alexandria via LeMat-Bulk.

Structure (POSCAR):
```
Cr2ReRu2
1.0
-1.8585 1.8585 4.9585
1.8585 -1.8585 4.9585
1.8585 1.8585 -4.9585
Cr Re Ru
2 1 2
direct
0.0995 0.0995 0.0000 Cr
0.9005 0.9005 0.0000 Cr
0.5000 0.5000 0.0000 Re
0.2500 0.7500 0.5000 Ru
0.7500 0.2500 0.5000 Ru
```



(4)
The following is a PBEsol calculation of a geometry-optimized TlIn3 structure, from Alexandria via LeMat-Bulk.

Structure (POSCAR):
```
TlIn3
1.0
3.3912 0.0000 0.0000
0.0000 5.3060 0.0000
0.0000 0.0000 5.8266
Tl In
1 3
direct
0.0000 0.0000 0.0000 Tl
0.0000 0.5000 0.6584 In
0.5000 0.0000 0.5002 In
0.5000 0.5000 0.1671 In
```



Values for electronic total energy, Ry/atom, ordered as above
-0.48142; -0.70273; -0.74715; -0.21153
Values for formation enthalpy at 0 K, meV per atom, ordered as above
200; 281; 667; 17